1.
Below is an optimized crystal structure of BaPm2Au, with properties calculated at the PBE level.

Magnetization ... 0.00 μB per cell
Energy of formation ... -103 kJ/mol of formula units
DOS at the Fermi energy ... 1.4283 states/eV/atom
Offset from the most stable computed form ... 0 meV per atom
VASP energy ... -3.942 eV per atom

Lattice parameters (Å, degrees): 3.796 3.796 9.790 90.00 90.00 90.00
Space group P4/mmm (No. 123)
One atom of each set of equivalent atoms:
Ba  0.000  0.000  0.000 x1
Pm  0.500  0.500  0.329 x2
Au  0.000  0.000  0.500 x1

2.
Below is an optimized crystal structure of Ac2BeZn, with properties calculated at the PBE level.

Magnetization ... 0.00 μB per cell
Energy of formation ... 284 kJ/mol of formula units
DOS at the Fermi energy ... 0.9898 states/eV/atom
Offset from the most stable computed form ... 683 meV per atom
VASP energy ... -2.569 eV per atom

Lattice parameters (Å, degrees): 3.7970 3.7970 33.4177 90.00 90.00 120.00
Space group R-3m (No. 166, hexagonal axes)
One atom of each set of equivalent atoms:
Ac  0.0000  0.0000  0.0949 x6
Be  0.0000  0.0000  0.0000 x3
Zn  0.0000  0.0000  0.5000 x3

Question: Number 1 is which compound?
Answer: BaPm2Au